(1)
DFT (PBE) results for crystalline YHI3 at its relaxed geometry.

- SG = P2/c (13)
- energy relative to the lowest polymorph listed for this composition (eV per formula unit) = 0.00

Cell lengths 8.0044, 8.8276, 14.1760 Å; angles 90.00, 105.70, 90.00 degrees
With the nearest neighbours (Å) after each atom.
Atoms (fractional coordinates):
Y1 0.0335 0.3010 0.0987  1 H 2.17
Y2 0.0335 0.6990 0.5987  1 H 2.17
Y3 0.9665 0.3010 0.4013  1 H 2.17
Y4 0.9665 0.6990 0.9013  1 H 2.17
H1 0.0627 0.0833 0.4642  1 I 2.07, 1 Y 2.17, 1 H 2.18
H2 0.9373 0.0833 0.0358  1 I 2.07, 1 Y 2.17, 1 H 2.18
H3 0.0627 0.9167 0.9642  1 I 2.07, 1 Y 2.17, 1 H 2.18
H4 0.9373 0.9167 0.5358  1 I 2.07, 1 Y 2.17, 1 H 2.18
I1 0.7700 0.0969 0.4901  1 H 2.07
I2 0.7700 0.9031 0.9901  1 H 2.07
I3 0.2650 0.7345 0.8076  2 Y 3.05
I4 0.2333 0.5887 0.0857  2 Y 3.03-3.05
I5 0.2650 0.2655 0.3076  2 Y 3.05
I6 0.2300 0.9031 0.5099  1 H 2.07
I7 0.7667 0.5887 0.4143  2 Y 3.03-3.05
I8 0.7350 0.7345 0.6924  2 Y 3.05
I9 0.7667 0.4113 0.9143  2 Y 3.03-3.05
I10 0.7350 0.2655 0.1924  2 Y 3.05
I11 0.2300 0.0969 0.0099  1 H 2.07
I12 0.2333 0.4113 0.5857  2 Y 3.03-3.05

***

(2)
DFT (PBE) results for crystalline CsVTc2 at its relaxed geometry.

- SG = I4_1/amd (141)
- energy of formation from the pure elements (meV/atom) = 1601
- Fermi-level density of states (states/eV/atom) = 1.13

Cell lengths 5.2060, 5.2060, 8.9513 Å; angles 73.09, 73.09, 90.00 degrees
With the nearest neighbours (Å) after each atom.
Atoms (fractional coordinates):
Cs1 0.0000 0.0000 0.0000  8 Tc 3.55-3.56, 4 V 3.68
Cs2 0.7500 0.2500 0.5000  8 Tc 3.55-3.56, 4 V 3.68
Tc1 0.3756 0.1250 0.2500  2 V 2.42, 2 Tc 2.60
Tc2 0.3744 0.6250 0.2500  2 V 2.42, 2 Tc 2.60
Tc3 0.3750 0.6244 0.7500  2 V 2.42, 2 Tc 2.60
Tc4 0.8750 0.6256 0.7500  2 V 2.42, 2 Tc 2.60
V1 0.5000 0.5000 0.0000  4 Tc 2.42
V2 0.2500 0.7500 0.5000  4 Tc 2.42

***

What are the total moment values for these records? In order: 0.0; 1.3 μB per cell.